The following is a PBE calculation of InAgI2N after structural relaxation, from Alexandria via LeMat-Bulk.

The density of states at the Fermi level comes out at 1.40 states/eV/f.u. Its formation energy from raw total energies is 5.44 eV/f.u. For the energy above the most stable polymorph in this dataset, the calculation gives 481 meV per atom. Its calculated density is 4057 kg/m3.

Unit cell a=6.053 b=6.053 c=5.480 alpha=90.00 beta=90.00 gamma=90.00
Space group P4/mmm (No. 123)
Inequivalent atoms, fractional coordinates:
In 0.000 0.000 0.000 (multiplicity 1)
Ag 0.000 0.000 0.500 (multiplicity 1)
I 0.000 0.500 0.000 (multiplicity 2)
N 0.500 0.500 0.500 (multiplicity 1)